(1)
HoFeCoP2 after structural relaxation. Source: Alexandria via LeMat-Bulk, functional PBE.

Structure (extended XYZ):
```
5
Lattice="-1.8927 1.8927 4.7469 1.8927 -1.8927 4.7469 1.8927 1.8927 -4.7469" Properties=species:S:1:pos:R:3 pbc="T T T"
Ho 0.0000 0.0000 0.0000
Fe 0.0000 1.8927 2.3735
Co 1.8927 0.0000 2.3735
P 0.0000 0.0000 3.5522
P 0.0000 0.0000 5.9417
```

Output
Spin magnetization (Bohr magnetons per cell): 0.00
VASP energy (hartree per atom): -0.265


(2)
HoFeCoSi3 after structural relaxation. Source: Alexandria via LeMat-Bulk, functional PBE.

Structure (extended XYZ):
```
12
Lattice="2.9765 -5.7953 0.0000 2.9765 5.7953 0.0000 0.0000 0.0000 5.6553" Properties=species:S:1:pos:R:3 pbc="T T T"
Ho 2.9765 3.2168 4.2415
Ho 2.9765 -3.2168 1.4138
Fe 2.9765 5.4848 1.4138
Fe 2.9765 -5.4848 4.2415
Co 2.9765 1.2766 1.4138
Co 2.9765 -1.2766 4.2415
Si 2.9765 3.3730 1.4138
Si 1.7521 0.0000 0.0000
Si 1.7521 0.0000 2.8276
Si 4.2009 0.0000 0.0000
Si 4.2009 0.0000 2.8276
Si 2.9765 -3.3730 4.2415
```

Output
Spin magnetization (Bohr magnetons per cell): 0.00
VASP energy (hartree per atom): -0.236
E_form (uncorrected) (eV per atom): -0.35


(3)
TbHoFeCo after structural relaxation. Source: Alexandria via LeMat-Bulk, functional PBE.

Structure (extended XYZ):
```
4
Lattice="0.0000 3.3551 3.3551 3.3551 0.0000 3.3551 3.3551 3.3551 0.0000" Properties=species:S:1:pos:R:3 pbc="T T T"
Tb 0.0000 0.0000 0.0000
Ho 3.3551 3.3551 3.3551
Fe 5.0327 5.0327 5.0327
Co 1.6776 1.6776 1.6776
```

Output
Spin magnetization (Bohr magnetons per cell): 1.63
VASP energy (hartree per atom): -0.226


(4)
HoTiFe8Co3 after structural relaxation. Source: Alexandria via LeMat-Bulk, functional PBE.

Structure (extended XYZ):
```
13
Lattice="-2.3546 4.2081 4.2101 2.3546 -4.2081 4.2101 2.3546 4.2081 -4.2101" Properties=species:S:1:pos:R:3 pbc="T T T"
Ho 0.0000 0.0000 0.0000
Ti 0.0000 0.0000 5.2058
Fe 2.3546 1.8236 -0.0423
Fe 2.3546 0.0000 1.9283
Fe 1.1797 2.0949 2.0810
Fe 3.5295 2.0949 2.0810
Fe 0.0000 4.2081 2.2663
Fe 0.0000 2.3846 4.1678
Fe -1.1749 2.1132 6.2911
Fe 1.1749 2.1132 6.2911
Co 0.0000 0.0000 2.9042
Co 2.3546 -1.1988 4.1935
Co 2.3546 1.1988 4.1935
```

Output
Spin magnetization (Bohr magnetons per cell): 19.79
VASP energy (hartree per atom): -0.291


(5)
Fe2CoI2 after structural relaxation. Source: Alexandria via LeMat-Bulk, functional PBE.

Structure (extended XYZ):
```
10
Lattice="6.6729 0.0000 0.0000 0.0000 6.6729 0.0000 0.0000 0.0000 3.7072" Properties=species:S:1:pos:R:3 pbc="T T T"
Fe 0.8242 2.5123 0.0000
Fe 2.5123 5.8487 0.0000
Fe 4.1606 0.8242 0.0000
Fe 5.8487 4.1606 0.0000
Co 0.0000 0.0000 0.0000
Co 3.3364 3.3364 0.0000
I 1.2017 4.5381 1.8536
I 2.1348 1.2017 1.8536
I 4.5381 5.4712 1.8536
I 5.4712 2.1348 1.8536
```

Output
Spin magnetization (Bohr magnetons per cell): 0.00
VASP energy (hartree per atom): -0.158
E_form (uncorrected) (eV per atom): 1.12


(6)
Fe2CoI2 after structural relaxation. Source: Alexandria via LeMat-Bulk, functional PBE.

Structure (extended XYZ):
```
5
Lattice="-2.6739 2.6739 3.6884 2.6739 -2.6739 3.6884 2.6739 2.6739 -3.6884" Properties=species:S:1:pos:R:3 pbc="T T T"
Fe 0.0000 0.0000 1.2108
Fe 0.0000 0.0000 6.1660
Co 0.0000 0.0000 3.6884
I 2.6739 0.0000 1.8442
I 0.0000 2.6739 1.8442
```

Output
Spin magnetization (Bohr magnetons per cell): 7.86
VASP energy (hartree per atom): -0.164
E_form (uncorrected) (eV per atom): 0.98


(7)
Fe3CoI after structural relaxation. Source: Alexandria via LeMat-Bulk, functional PBE.

Structure (extended XYZ):
```
5
Lattice="4.4678 0.0000 0.0000 0.0000 4.4678 0.0000 0.0000 0.0000 4.4678" Properties=species:S:1:pos:R:3 pbc="T T T"
Fe 0.0000 0.0000 2.2339
Fe 0.0000 2.2339 0.0000
Fe 2.2339 0.0000 0.0000
Co 0.0000 0.0000 0.0000
I 2.2339 2.2339 2.2339
```

Output
Spin magnetization (Bohr magnetons per cell): 10.08
VASP energy (hartree per atom): -0.214
E_form (uncorrected) (eV per atom): 0.98


(8)
FeCoI6 after structural relaxation. Source: Alexandria via LeMat-Bulk, functional PBE.

Structure (extended XYZ):
```
8
Lattice="3.7120 -6.4531 0.0000 3.7120 6.4531 0.0000 -0.1432 0.0000 6.5434" Properties=species:S:1:pos:R:3 pbc="T T T"
Fe 0.0000 0.0000 0.0000
Co -0.0716 0.0000 3.2717
I 0.9654 1.8463 4.8280
I 0.9654 -1.8463 4.8280
I 2.0889 0.0000 1.7808
I 5.1920 0.0000 4.7626
I 6.3155 1.8463 1.7154
I 6.3155 -1.8463 1.7154
```

Output
Spin magnetization (Bohr magnetons per cell): 4.94
VASP energy (hartree per atom): -0.116
E_form (uncorrected) (eV per atom): -0.06


(9)
Fe2CoI8 after structural relaxation. Source: Alexandria via LeMat-Bulk, functional PBE.

Structure (extended XYZ):
```
11
Lattice="6.3656 -5.6610 0.0000 6.3656 5.6610 0.0000 -0.4320 0.0000 6.7285" Properties=species:S:1:pos:R:3 pbc="T T T"
Fe 2.3530 0.0000 0.9550
Fe 9.9462 0.0000 5.7735
Co -0.2160 0.0000 3.3642
I 4.8970 3.6502 4.8512
I 2.0212 0.0000 5.0928
I 7.4022 3.6502 1.8773
I 4.7541 0.0000 1.6558
I 7.5451 0.0000 5.0727
I 4.8970 -3.6502 4.8512
I 10.2780 0.0000 1.6357
I 7.4022 -3.6502 1.8773
```

Output
Spin magnetization (Bohr magnetons per cell): 12.81
VASP energy (hartree per atom): -0.125
E_form (uncorrected) (eV per atom): -0.09


(10)
Fe2CoI8 after structural relaxation. Source: Alexandria via LeMat-Bulk, functional PBE.

Structure (extended XYZ):
```
11
Lattice="7.2341 -4.7691 0.0000 7.2341 4.7691 0.0000 -0.4907 0.0000 6.7348" Properties=species:S:1:pos:R:3 pbc="T T T"
Fe 2.2285 0.0000 2.8335
Fe 11.7490 0.0000 3.9013
Co 0.0000 0.0000 0.0000
I 5.7724 2.8881 5.1737
I 1.8841 0.0000 5.3660
I 8.2051 2.8881 1.5611
I 4.7105 0.0000 2.4571
I 9.2670 0.0000 4.2777
I 5.7724 -2.8881 5.1737
I 12.0935 0.0000 1.3688
I 8.2051 -2.8881 1.5611
```

Output
Spin magnetization (Bohr magnetons per cell): 9.05
VASP energy (hartree per atom): -0.126
E_form (uncorrected) (eV per atom): -0.11


(11)
FeCoI6 after structural relaxation. Source: Alexandria via LeMat-Bulk, functional PBE.

Structure (extended XYZ):
```
8
Lattice="3.4409 1.9866 6.0584 -3.4409 1.9866 6.0584 0.0000 -3.9732 6.0584" Properties=species:S:1:pos:R:3 pbc="T T T"
Fe 0.0000 0.0000 0.0000
Co 0.0000 0.0000 9.0875
I -1.0311 -1.9248 7.5953
I -2.1825 -0.0694 10.5797
I -1.1514 1.8554 7.5953
I 1.1514 -1.8554 10.5798
I 2.1825 0.0694 7.5953
I 1.0311 1.9248 10.5798
```

Output
Spin magnetization (Bohr magnetons per cell): 4.82
VASP energy (hartree per atom): -0.114
E_form (uncorrected) (eV per atom): 0.01


(12)
FeCoI3 after structural relaxation. Source: Alexandria via LeMat-Bulk, functional PBE.

Structure (extended XYZ):
```
5
Lattice="5.2438 0.0000 0.0000 0.0000 5.2438 0.0000 0.0000 0.0000 5.2438" Properties=species:S:1:pos:R:3 pbc="T T T"
Fe 0.0000 0.0000 0.0000
Co 2.6219 2.6219 2.6219
I 0.0000 2.6219 2.6219
I 2.6219 0.0000 2.6219
I 2.6219 2.6219 0.0000
```

Output
Spin magnetization (Bohr magnetons per cell): 4.89
VASP energy (hartree per atom): -0.119
E_form (uncorrected) (eV per atom): 0.79


(13)
Fe2CoI after structural relaxation. Source: Alexandria via LeMat-Bulk, functional PBE.

Structure (extended XYZ):
```
4
Lattice="0.0000 3.0259 3.0259 3.0259 0.0000 3.0259 3.0259 3.0259 0.0000" Properties=species:S:1:pos:R:3 pbc="T T T"
Fe 1.5129 1.5129 1.5129
Fe 4.5388 4.5388 4.5388
Co 0.0000 0.0000 0.0000
I 3.0259 3.0259 3.0259
```

Output
Spin magnetization (Bohr magnetons per cell): 5.33
VASP energy (hartree per atom): -0.205
E_form (uncorrected) (eV per atom): 0.81


(14)
La8FeCo3I4 after structural relaxation. Source: Alexandria via LeMat-Bulk, functional PBE.

Structure (extended XYZ):
```
16
Lattice="4.1144 2.3755 8.2461 -4.1144 2.3755 8.2461 0.0000 -4.7509 8.2461" Properties=species:S:1:pos:R:3 pbc="T T T"
La 0.0000 0.0000 5.6054
La -2.0304 -1.1723 13.8738
La 0.0000 -2.3445 10.8645
La -2.0304 1.1723 10.8645
La 2.0304 -1.1723 13.8738
La 0.0000 2.3445 13.8738
La 2.0304 1.1723 10.8645
La 0.0000 0.0000 19.1329
Fe 0.0000 0.0000 12.3692
Co -4.1144 0.0000 12.3692
Co -2.0572 1.1877 4.1231
Co 2.0572 1.1877 4.1231
I 0.0000 0.0000 0.0000
I -2.0572 -1.1877 8.2461
I -2.0572 1.1877 16.4922
I 0.0000 2.3755 8.2461
```

Output
Spin magnetization (Bohr magnetons per cell): 0.00
VASP energy (hartree per atom): -0.196
E_form (uncorrected) (eV per atom): -0.63


(15)
La6FeCo2I3 after structural relaxation. Source: Alexandria via LeMat-Bulk, functional PBE.

Structure (extended XYZ):
```
12
Lattice="3.5620 -6.1703 0.0000 3.5620 6.1703 0.0000 -2.3725 0.0000 8.2454" Properties=species:S:1:pos:R:3 pbc="T T T"
La 1.1716 2.0290 1.4980
La -0.0302 0.0000 6.7455
La 1.1716 -2.0290 1.4980
La 3.5799 2.0290 6.7474
La 4.7817 0.0000 1.4998
La 3.5799 -2.0290 6.7474
Fe 0.0000 0.0000 0.0000
Co 3.5620 2.0574 0.0000
Co 3.5620 -2.0574 0.0000
I 2.3758 4.1174 4.1227
I 2.3758 0.0000 4.1227
I 2.3758 -4.1174 4.1227
```

Output
Spin magnetization (Bohr magnetons per cell): 0.00
VASP energy (hartree per atom): -0.197
E_form (uncorrected) (eV per atom): -0.61


(16)
FeCoMoI2 after structural relaxation. Source: Alexandria via LeMat-Bulk, functional PBE.

Structure (extended XYZ):
```
5
Lattice="5.0095 0.0000 0.0000 0.0000 5.0095 0.0000 0.0000 0.0000 4.4325" Properties=species:S:1:pos:R:3 pbc="T T T"
Fe 0.0000 0.0000 0.0000
Co 2.5047 2.5047 2.2162
Mo 2.5047 2.5047 0.0000
I 0.0000 2.5047 2.2162
I 2.5047 0.0000 2.2162
```

Output
Spin magnetization (Bohr magnetons per cell): 0.05
VASP energy (hartree per atom): -0.153
E_form (uncorrected) (eV per atom): 1.73